Record 1
VASP calculation (GGA-PBE) on an optimized crystal structure of K3SbF7.

Lattice parameters (Å, degrees): 6.031 6.031 6.973 114.12 114.12 88.07
Fractional positions:
K1 0.000 0.000 0.000
K2 0.257 0.729 0.477
K3 0.729 0.257 0.477
Sb1 0.542 0.542 0.011
F1 0.193 0.529 0.761
F2 0.357 0.357 0.115
F3 0.408 0.838 0.213
F4 0.529 0.193 0.761
F5 0.634 0.634 0.783
F6 0.838 0.408 0.213
F7 0.854 0.854 0.244

Output
* total DFT energy (no corrections): -4.463 eV per atom
* theoretical density: 3.0 g/cm3
* magnetic moment: 0.8 μB/f.u.
* symmetry: Cm, No. 8

---

Record 2
VASP calculation (GGA-PBE) on an optimized crystal structure of TbPaOs4.

Lattice parameters (Å, degrees): 5.369 5.369 5.369 60.00 60.00 60.00
Fractional positions:
Tb1 0.000 0.000 0.000
Pa1 0.250 0.250 0.250
Os1 0.124 0.625 0.625
Os2 0.625 0.124 0.625
Os3 0.625 0.625 0.124
Os4 0.625 0.625 0.625

Output
* DFT formation energy: -267 meV/atom
* theoretical density: 17.5 g/cm3
* magnetic moment: 0.0 μB/f.u.
* symmetry: F-43m, No. 216

---

Record 3
VASP calculation (GGA-PBE) on an optimized crystal structure of Y2ZrAlS.

Lattice parameters (Å, degrees): 5.447 5.447 5.031 90.00 90.00 90.00
Fractional positions:
Y1 0.000 0.500 0.000
Y2 0.500 0.000 0.000
Zr1 0.000 0.000 0.000
Al1 0.000 0.000 0.500
S1 0.500 0.500 0.500

Output
* total DFT energy (no corrections): -5.226 eV per atom
* theoretical density: 3.7 g/cm3
* magnetic moment: 0.0 μB/f.u.
* symmetry: P4/mmm, No. 123

---

Record 4
VASP calculation (GGA-PBE) on an optimized crystal structure of PmPa2TcN4.

Lattice parameters (Å, degrees): 6.210 6.210 11.784 90.00 90.00 148.59
Fractional positions:
Pm1 0.106 0.894 0.750
Pm2 0.894 0.106 0.250
Pa1 0.369 0.631 0.555
Pa2 0.369 0.631 0.945
Pa3 0.631 0.369 0.055
Pa4 0.631 0.369 0.445
Tc1 0.156 0.844 0.250
Tc2 0.844 0.156 0.750
N1 0.000 0.000 0.000
N2 0.000 0.000 0.500
N3 0.274 0.726 0.114
N4 0.274 0.726 0.386
N5 0.457 0.543 0.750
N6 0.543 0.457 0.250
N7 0.726 0.274 0.614
N8 0.726 0.274 0.886

Output
* total DFT energy (no corrections): -9.668 eV per atom
* theoretical density: 10.7 g/cm3
* magnetic moment: 0.0 μB/f.u.
* symmetry: Cmcm, No. 63

---

Record 5
VASP calculation (GGA-PBE) on an optimized crystal structure of TbSm2Ho6Sc.

Lattice parameters (Å, degrees): 8.652 8.652 9.518 94.40 94.40 117.42
Fractional positions:
Tb1 0.019 0.981 0.750
Tb2 0.981 0.019 0.250
Sm1 0.199 0.300 0.546
Sm2 0.300 0.199 0.046
Sm3 0.700 0.801 0.954
Sm4 0.801 0.700 0.454
Ho1 0.010 0.569 0.690
Ho2 0.126 0.747 0.057
Ho3 0.253 0.874 0.443
Ho4 0.295 0.505 0.883
Ho5 0.431 0.990 0.810
Ho6 0.495 0.705 0.617
Ho7 0.505 0.295 0.383
Ho8 0.569 0.010 0.190
Ho9 0.705 0.495 0.117
Ho10 0.747 0.126 0.557
Ho11 0.874 0.253 0.943
Ho12 0.990 0.431 0.310
Sc1 0.411 0.589 0.250
Sc2 0.589 0.411 0.750

Output
* DFT formation energy: 124 meV/atom
* theoretical density: 7.9 g/cm3
* magnetic moment: 0.0 μB/f.u.
* symmetry: C2/c, No. 15

---

Record 6
VASP calculation (GGA-PBE) on an optimized crystal structure of CoAsPBr2.

Lattice parameters (Å, degrees): 5.013 5.013 4.943 90.00 90.00 90.00
Fractional positions:
Co1 0.000 0.000 0.000
As1 0.500 0.500 0.000
P1 0.500 0.500 0.500
Br1 0.000 0.500 0.500
Br2 0.500 0.000 0.500

Output
* theoretical density: 4.3 g/cm3
* magnetic moment: 2.6 μB/f.u.
* symmetry: P4/mmm, No. 123
* excess energy over the best structure of this formula in the dataset: 1.447 eV per formula unit

---

Record 7
VASP calculation (GGA-PBE) on an optimized crystal structure of BeCrSCl2.

Lattice parameters (Å, degrees): 4.224 4.224 5.049 90.00 90.00 90.00
Fractional positions:
Be1 0.000 0.000 0.000
Cr1 0.500 0.500 0.500
S1 0.000 0.000 0.500
Cl1 0.000 0.500 0.000
Cl2 0.500 0.000 0.000

Output
* theoretical density: 3.0 g/cm3
* magnetic moment: 4.0 μB/f.u.
* symmetry: P4/mmm, No. 123
* excess energy over the best structure of this formula in the dataset: 0.000 eV per formula unit

---

Record 8
VASP calculation (GGA-PBE) on an optimized crystal structure of NaLiCaZn.

Lattice parameters (Å, degrees): 7.405 7.405 7.405 90.00 90.00 90.00
Fractional positions:
Na1 0.000 0.000 0.000
Na2 0.000 0.500 0.500
Na3 0.500 0.000 0.500
Na4 0.500 0.500 0.000
Li1 0.250 0.250 0.750
Li2 0.250 0.750 0.250
Li3 0.750 0.250 0.250
Li4 0.750 0.750 0.750
Ca1 0.250 0.250 0.250
Ca2 0.250 0.750 0.750
Ca3 0.750 0.250 0.750
Ca4 0.750 0.750 0.250
Zn1 0.000 0.000 0.500
Zn2 0.000 0.500 0.000
Zn3 0.500 0.000 0.000
Zn4 0.500 0.500 0.500

Output
* DFT formation energy: 17 meV/atom
* theoretical density: 2.2 g/cm3
* magnetic moment: 0.0 μB/f.u.
* symmetry: F-43m, No. 216